Entry 1:
Entry from Alexandria: crystalline AgPCl2 at its relaxed geometry (PBEsol).

The theoretical density is 4.2 g cm⁻³. As for the formation energy from raw total energies: 0.1092 eV per atom. The calculation puts the offset from the most stable computed form at 0 meV per atom. Its crystal system is orthorhombic.

abc: 3.154 3.854 13.636
angles: 90.00 90.00 90.00
Space group Imm2 (No. 44)
Inequivalent atoms, fractional coordinates:
Ag 0.000 0.000 0.000 x2
P 0.000 0.500 0.357 x2
Cl 0.000 0.000 0.585 x2
Cl 0.000 0.500 0.806 x2


Entry 2:
Entry from Alexandria: crystalline RbAgP2Cl at its relaxed geometry (PBEsol).

The theoretical density is 2.1 g cm⁻³. As for the formation energy from raw total energies: 1.4585 eV per atom. Its crystal system is tetragonal.

abc: 6.298 6.298 5.736
angles: 90.00 90.00 90.00
Space group P4/mmm (No. 123)
Inequivalent atoms, fractional coordinates:
Rb 0.000 0.000 0.000 x1
Ag 0.500 0.500 0.500 x1
P 0.000 0.500 0.000 x2
Cl 0.000 0.000 0.500 x1


Entry 3:
Entry from Alexandria: crystalline ReAgP2Cl at its relaxed geometry (PBEsol).

The theoretical density is 6.3 g cm⁻³. As for the formation energy from raw total energies: 0.5426 eV per atom. Its crystal system is tetragonal.

abc: 4.500 4.500 5.134
angles: 90.00 90.00 90.00
Space group P4/mmm (No. 123)
Inequivalent atoms, fractional coordinates:
Re 0.000 0.000 0.000 x1
Ag 0.500 0.500 0.500 x1
P 0.000 0.500 0.000 x2
Cl 0.000 0.000 0.500 x1


Entry 4:
Entry from Alexandria: crystalline AgPSCl2 at its relaxed geometry (PBEsol).

The theoretical density is 3.6 g cm⁻³. As for the formation energy from raw total energies: 0.7424 eV per atom. The calculation puts the offset from the most stable computed form at 138 meV per atom. Its crystal system is tetragonal.

abc: 4.710 4.710 5.041
angles: 90.00 90.00 90.00
Space group P4/mmm (No. 123)
Inequivalent atoms, fractional coordinates:
Ag 0.000 0.000 0.000 x1
P 0.000 0.000 0.500 x1
S 0.500 0.500 0.500 x1
Cl 0.000 0.500 0.000 x2


Entry 5:
Entry from Alexandria: crystalline AgPSCl2 at its relaxed geometry (PBEsol).

The theoretical density is 3.5 g cm⁻³. As for the formation energy from raw total energies: 0.6047 eV per atom. The calculation puts the offset from the most stable computed form at 0 meV per atom. Its crystal system is tetragonal.

abc: 5.236 5.236 4.153
angles: 90.00 90.00 90.00
Space group P4/mmm (No. 123)
Inequivalent atoms, fractional coordinates:
Ag 0.000 0.000 0.000 x1
P 0.500 0.500 0.000 x1
S 0.500 0.500 0.500 x1
Cl 0.000 0.500 0.500 x2


Entry 6:
Entry from Alexandria: crystalline AgPSeCl2 at its relaxed geometry (PBEsol).

The theoretical density is 4.0 g cm⁻³. As for the formation energy from raw total energies: 0.5665 eV per atom. Its crystal system is tetragonal.

abc: 4.894 4.894 4.945
angles: 90.00 90.00 90.00
Space group P4/mmm (No. 123)
Inequivalent atoms, fractional coordinates:
Ag 0.000 0.000 0.000 x1
P 0.500 0.500 0.000 x1
Se 0.500 0.500 0.500 x1
Cl 0.000 0.500 0.500 x2


Entry 7:
Entry from Alexandria: crystalline TaAgP2Cl at its relaxed geometry (PBEsol).

The theoretical density is 6.4 g cm⁻³. As for the formation energy from raw total energies: 1.2927 eV per atom. Its crystal system is tetragonal.

abc: 4.663 4.663 4.625
angles: 90.00 90.00 90.00
Space group P4/mmm (No. 123)
Inequivalent atoms, fractional coordinates:
Ta 0.000 0.000 0.000 x1
Ag 0.500 0.500 0.500 x1
P 0.000 0.500 0.500 x2
Cl 0.500 0.500 0.000 x1


Entry 8:
Entry from Alexandria: crystalline TcAgP2Cl at its relaxed geometry (PBEsol).

The theoretical density is 4.7 g cm⁻³. As for the formation energy from raw total energies: 1.4456 eV per atom. Its crystal system is tetragonal.

abc: 4.715 4.715 4.772
angles: 90.00 90.00 90.00
Space group P4/mmm (No. 123)
Inequivalent atoms, fractional coordinates:
Tc 0.000 0.000 0.000 x1
Ag 0.500 0.500 0.500 x1
P 0.000 0.500 0.500 x2
Cl 0.500 0.500 0.000 x1


Look up the theoretical density of the sixth one. 4.0 g cm⁻³


Which formula does entry 6 have? AgPSeCl2


theoretical density of number 7 (TaAgP2Cl)? 6.4 g cm⁻³


formation energy from raw total energies of number 5 (AgPSCl2)? 0.6047 eV per atom